(1)
Density functional theory data (PBE) for a relaxed structure of Pr4Nd3In.

Computed properties:
**Magnetization**: 0.0000 μB/atom
**Crystal system**: orthorhombic
**Symmetry**: Pmn2_1
**Total DFT energy (no corrections)**: -4.609 eV/atom
**DFT formation energy**: -89 meV per atom

abc: 10.220 7.186 7.273
angles: 90.00 90.00 90.00
Element x y z (fractional)
Pr: 0.000 0.001 0.000
Pr: 0.000 0.499 0.499
Pr: 0.249 0.740 0.750
Pr: 0.251 0.260 0.250
Pr: 0.500 0.501 0.999
Pr: 0.500 0.999 0.500
Pr: 0.749 0.260 0.250
Pr: 0.751 0.740 0.750
Nd: 0.000 0.000 0.499
Nd: 0.250 0.261 0.750
Nd: 0.250 0.739 0.250
Nd: 0.500 0.000 0.999
Nd: 0.750 0.261 0.750
Nd: 0.750 0.739 0.250
In: 0.000 0.500 0.000
In: 0.500 0.500 0.500

---

(2)
Density functional theory data (PBE) for a relaxed structure of Pr2NdIn4.

Computed properties:
**Magnetization**: 0.0000 μB/atom
**Crystal system**: triclinic
**Symmetry**: P1
**Total DFT energy (no corrections)**: -4.046 eV/atom
**DFT formation energy**: -434 meV per atom

abc: 6.367 8.609 9.008
angles: 115.10 108.33 93.63
Element x y z (fractional)
Pr: 0.000 0.000 0.000
Pr: 0.056 0.022 0.539
Pr: 0.231 0.481 0.368
Pr: 0.901 0.562 0.707
Nd: 0.469 0.809 0.150
Nd: 0.652 0.249 0.928
In: 0.183 0.368 0.963
In: 0.349 0.843 0.783
In: 0.419 0.487 0.763
In: 0.478 0.175 0.473
In: 0.606 0.882 0.580
In: 0.709 0.568 0.317
In: 0.792 0.215 0.307
In: 0.946 0.682 0.119

---

(3)
Density functional theory data (PBE) for a relaxed structure of PrNd5In4.

Computed properties:
**Magnetization**: 0.0000 μB/atom
**Crystal system**: tetragonal
**Symmetry**: P4/mmm
**Total DFT energy (no corrections)**: -4.344 eV/atom
**DFT formation energy**: -387 meV per atom

abc: 3.633 3.633 22.963
angles: 90.00 90.00 90.00
Element x y z (fractional)
Pr: 0.000 0.000 0.000
Nd: 0.500 0.500 0.118
Nd: 0.500 0.500 0.309
Nd: 0.500 0.500 0.500
Nd: 0.500 0.500 0.691
Nd: 0.500 0.500 0.882
In: 0.000 0.000 0.212
In: 0.000 0.000 0.404
In: 0.000 0.000 0.596
In: 0.000 0.000 0.788

---

(4)
Density functional theory data (PBE) for a relaxed structure of PrNdIn.

Computed properties:
**Magnetization**: 0.0000 μB/atom
**Crystal system**: trigonal
**Symmetry**: P3m1
**Total DFT energy (no corrections)**: -4.343 eV/atom
**DFT formation energy**: -248 meV per atom

abc: 5.361 5.361 3.771
angles: 90.00 90.00 120.00
Element x y z (fractional)
Pr: 0.000 0.000 0.000
Nd: 0.667 0.333 0.583
In: 0.333 0.667 0.305

---

(5)
Density functional theory data (PBE) for a relaxed structure of Pr3Nd2In3.

Computed properties:
**Magnetization**: 0.0002 μB/atom
**Crystal system**: hexagonal
**Symmetry**: P-62m
**Total DFT energy (no corrections)**: -4.333 eV/atom
**DFT formation energy**: -322 meV per atom

abc: 8.974 8.974 3.523
angles: 90.00 90.00 120.00
Element x y z (fractional)
Pr: 0.000 0.756 0.000
Pr: 0.244 0.244 0.000
Pr: 0.756 0.000 0.000
Nd: 0.333 0.667 0.000
Nd: 0.667 0.333 0.000
In: 0.000 0.381 0.500
In: 0.381 0.000 0.500
In: 0.619 0.619 0.500

---

(6)
Density functional theory data (PBE) for a relaxed structure of Pr4Nd9In11.

Computed properties:
**Magnetization**: 0.0000 μB/atom
**Crystal system**: orthorhombic
**Symmetry**: Cmmm
**Total DFT energy (no corrections)**: -4.260 eV/atom
**DFT formation energy**: -420 meV per atom

abc: 14.496 14.496 3.624
angles: 90.00 90.00 111.09
Element x y z (fractional)
Pr: 0.092 0.257 0.000
Pr: 0.257 0.092 0.000
Pr: 0.743 0.908 0.000
Pr: 0.908 0.743 0.000
Nd: 0.000 0.000 0.000
Nd: 0.111 0.664 0.000
Nd: 0.297 0.488 0.000
Nd: 0.336 0.889 0.000
Nd: 0.488 0.297 0.000
Nd: 0.512 0.703 0.000
Nd: 0.664 0.111 0.000
Nd: 0.703 0.512 0.000
Nd: 0.889 0.336 0.000
In: 0.090 0.459 0.500
In: 0.121 0.879 0.500
In: 0.297 0.297 0.500
In: 0.312 0.688 0.500
In: 0.459 0.090 0.500
In: 0.500 0.500 0.500
In: 0.541 0.910 0.500
In: 0.688 0.312 0.500
In: 0.703 0.703 0.500
In: 0.879 0.121 0.500
In: 0.910 0.541 0.500